# 1
The following is a PBE calculation of an optimized crystal structure of SrMg2Mn, from the Alexandria database.

Geometry as POSCAR:
```
SrMg2Mn
1.0
3.6221 0.0000 0.0000
0.0000 3.6221 0.0000
0.0000 0.0000 8.0454
Sr Mg Mn
1 2 1
direct
0.0000 0.0000 0.0000
0.0000 0.0000 0.5582
0.5000 0.5000 0.3327
0.5000 0.5000 0.7173
```

Properties
**Energy of formation from the pure elements**: 0.2712 eV/atom



# 2
The following is a PBE calculation of an optimized crystal structure of SrMg2Mn, from the Alexandria database.

Geometry as POSCAR:
```
SrMg2Mn
1.0
4.7177 0.0000 0.0000
0.0000 4.7177 0.0000
0.0000 0.0000 4.8991
Sr Mg Mn
1 2 1
direct
0.0000 0.0000 0.0000
0.0000 0.5000 0.5000
0.5000 0.0000 0.5000
0.5000 0.5000 0.0000
```

Properties
**Energy of formation from the pure elements**: 0.3513 eV/atom



# 3
The following is a PBE calculation of an optimized crystal structure of SrMg2Mn, from the Alexandria database.

Geometry as POSCAR:
```
SrMg2Mn
1.0
4.6246 0.0000 0.0000
0.0000 4.6246 0.0000
0.0000 0.0000 22.0562
Sr Mg Mn
4 8 4
direct
0.0000 0.0000 0.0000
0.0000 0.5000 0.2500
0.5000 0.0000 0.7500
0.5000 0.5000 0.5000
0.1984 0.2500 0.6250
0.2500 0.6984 0.8750
0.2500 0.8016 0.3750
0.3016 0.2500 0.1250
0.6984 0.7500 0.1250
0.7500 0.1984 0.3750
0.7500 0.3016 0.8750
0.8016 0.7500 0.6250
0.0000 0.0000 0.5000
0.0000 0.5000 0.7500
0.5000 0.0000 0.2500
0.5000 0.5000 0.0000
```

Properties
**Energy of formation from the pure elements**: 0.5400 eV/atom



# 4
The following is a PBE calculation of an optimized crystal structure of SrMgMn3, from the Alexandria database.

Geometry as POSCAR:
```
SrMgMn3
1.0
5.2512 0.0000 0.0000
0.0000 5.2512 0.0000
0.0000 0.0000 5.2512
Sr Mg Mn
1 1 3
direct
0.0000 0.0000 0.0000
0.5000 0.5000 0.5000
0.0000 0.0000 0.5000
0.0000 0.5000 0.0000
0.5000 0.0000 0.0000
```

Properties
**Excess energy over the best structure of this formula in the dataset**: 4.05 eV per formula unit
**Energy of formation from the pure elements**: 1.8005 eV/atom



# 5
The following is a PBE calculation of an optimized crystal structure of SrMg4Mn, from the Alexandria database.

Geometry as POSCAR:
```
SrMg4Mn
1.0
0.0000 4.2464 4.2464
4.2464 0.0000 4.2464
4.2464 4.2464 0.0000
Sr Mg Mn
1 4 1
direct
0.0000 0.0000 0.0000
0.1287 0.6238 0.6238
0.6238 0.1287 0.6238
0.6238 0.6238 0.1287
0.6238 0.6238 0.6238
0.2500 0.2500 0.2500
```

Properties
**Energy of formation from the pure elements**: 0.2138 eV/atom



# 6
The following is a PBE calculation of an optimized crystal structure of SrMg2Mn, from the Alexandria database.

Geometry as POSCAR:
```
SrMg2Mn
1.0
6.3890 0.0000 0.0000
0.0000 10.8573 0.0000
-1.0962 0.0000 3.0974
Sr Mg Mn
2 4 2
direct
0.0000 0.0000 0.0000
0.5000 0.5000 0.0000
0.2500 0.2500 0.5000
0.2500 0.7500 0.5000
0.7500 0.2500 0.5000
0.7500 0.7500 0.5000
0.0000 0.5000 0.0000
0.5000 0.0000 0.0000
```

Properties
**Energy of formation from the pure elements**: 0.4458 eV/atom



# 7
The following is a PBE calculation of an optimized crystal structure of SrMg2Mn, from the Alexandria database.

Geometry as POSCAR:
```
SrMg2Mn
1.0
3.4472 0.0000 0.0000
-1.7236 2.9854 0.0000
0.0000 0.0000 30.9916
Sr Mg Mn
3 6 3
direct
0.0000 0.0000 0.0000
0.3333 0.6667 0.6667
0.6667 0.3333 0.3333
0.0000 0.0000 0.2360
0.0000 0.0000 0.7640
0.3333 0.6667 0.4306
0.3333 0.6667 0.9027
0.6667 0.3333 0.0973
0.6667 0.3333 0.5694
0.0000 0.0000 0.5000
0.3333 0.6667 0.1667
0.6667 0.3333 0.8333
```

Properties
**Energy of formation from the pure elements**: 0.4522 eV/atom



# 8
The following is a PBE calculation of an optimized crystal structure of SrMgMn3, from the Alexandria database.

Geometry as POSCAR:
```
SrMgMn3
1.0
5.0258 0.0000 0.0000
0.0000 5.0258 0.0000
0.0000 0.0000 5.0258
Sr Mg Mn
1 1 3
direct
0.0000 0.0000 0.0000
0.5000 0.5000 0.5000
0.0000 0.5000 0.5000
0.5000 0.0000 0.5000
0.5000 0.5000 0.0000
```

Properties
**Excess energy over the best structure of this formula in the dataset**: 0.00 eV per formula unit
**Energy of formation from the pure elements**: 0.9906 eV/atom



# 9
The following is a PBE calculation of an optimized crystal structure of SrMg2Mn, from the Alexandria database.

Geometry as POSCAR:
```
SrMg2Mn
1.0
3.5868 0.0000 0.0000
0.0000 3.5868 0.0000
0.0000 0.0000 8.0408
Sr Mg Mn
1 2 1
direct
0.0000 0.0000 0.0000
0.5000 0.5000 0.3156
0.5000 0.5000 0.6844
0.0000 0.0000 0.5000
```

Properties
**Energy of formation from the pure elements**: 0.2239 eV/atom



# 10
The following is a PBE calculation of an optimized crystal structure of SrMgMnTl2, from the Alexandria database.

Geometry as POSCAR:
```
SrMgMnTl2
1.0
5.2812 0.0000 0.0000
0.0000 5.2812 0.0000
0.0000 0.0000 5.5376
Sr Mg Mn Tl
1 1 1 2
direct
0.0000 0.0000 0.0000
0.5000 0.5000 0.0000
0.0000 0.0000 0.5000
0.0000 0.5000 0.5000
0.5000 0.0000 0.5000
```

Properties
**Energy of formation from the pure elements**: 0.3426 eV/atom



# 11
The following is a PBE calculation of an optimized crystal structure of SrMgMnV2, from the Alexandria database.

Geometry as POSCAR:
```
SrMgMnV2
1.0
5.1185 0.0000 0.0000
0.0000 5.1185 0.0000
0.0000 0.0000 5.0248
Sr Mg Mn V
1 1 1 2
direct
0.0000 0.0000 0.0000
0.5000 0.5000 0.5000
0.5000 0.5000 0.0000
0.0000 0.5000 0.5000
0.5000 0.0000 0.5000
```

Properties
**Energy of formation from the pure elements**: 1.3393 eV/atom



# 12
The following is a PBE calculation of an optimized crystal structure of Mg2TaMn, from the Alexandria database.

Geometry as POSCAR:
```
Mg2TaMn
1.0
4.5847 0.0000 0.0000
0.0000 4.5847 0.0000
0.0000 0.0000 6.5136
Mg Ta Mn
4 2 2
direct
0.0000 0.0000 0.0000
0.0000 0.5000 0.2500
0.5000 0.0000 0.7500
0.5000 0.5000 0.5000
0.0000 0.0000 0.5000
0.5000 0.5000 0.0000
0.0000 0.5000 0.7500
0.5000 0.0000 0.2500
```

Properties
**Excess energy over the best structure of this formula in the dataset**: 0.87 eV per formula unit
**Energy of formation from the pure elements**: 0.3535 eV/atom



| no. | N(E_F) (states/eV/cell) |
| --- | --- |
| 1 | 3.63 |
| 2 | 3.72 |
| 3 | 13.26 |
| 4 | 2.77 |
| 5 | 2.72 |
| 6 | 6.67 |
| 7 | 9.46 |
| 8 | 7.57 |
| 9 | 3.42 |
| 10 | 3.53 |
| 11 | 6.80 |
| 12 | 6.84 |